1.
Compound: Nb2InSe
Source: Alexandria via LeMat-Bulk
Functional: PBE
Structure: optimized geometry

The structure in POSCAR format:
```
Nb2InSe
1.0
-2.036 2.036 9.963
2.036 -2.036 9.963
2.036 2.036 -9.963
Nb In Se
4 2 2
Direct
0.124 0.625 0.999 Nb
0.375 0.374 0.499 Nb
0.626 0.125 0.001 Nb
0.875 0.876 0.501 Nb
0.250 0.750 0.500 In
0.500 0.500 0.000 In
0.000 0.000 0.000 Se
0.750 0.250 0.500 Se
```

For the calculated density, the calculation gives 7.6 g cm⁻³. As for the formation energy from raw total energies: 0.257 eV/atom. Its total energy is -6.334 eV per atom. The energy relative to the lowest polymorph listed for this composition is 129 meV per atom. The total moment is 0.00 μB per formula unit. The space-group type is I-42d.


2.
Compound: Na2TlIn4
Source: Alexandria via LeMat-Bulk
Functional: PBE
Structure: optimized geometry

The structure in POSCAR format:
```
Na2TlIn4
1.0
6.085 -3.121 0.000
6.085 3.121 0.000
0.000 0.000 10.979
Na Tl In
4 2 8
Direct
0.148 0.148 0.000 Na
0.352 0.352 0.500 Na
0.648 0.648 0.500 Na
0.852 0.852 0.000 Na
0.000 0.000 0.500 Tl
0.500 0.500 0.000 Tl
0.003 0.497 0.750 In
0.247 0.753 0.751 In
0.253 0.747 0.251 In
0.497 0.003 0.250 In
0.503 0.997 0.750 In
0.747 0.253 0.749 In
0.753 0.247 0.249 In
0.997 0.503 0.250 In
```

For the calculated density, the calculation gives 5.7 g cm⁻³. Its total energy is -2.304 eV per atom. The energy relative to the lowest polymorph listed for this composition is 0 meV per atom. The value obtained for the formation energy from the elements is -0.0242 eV/atom. The total moment is 0.00 μB per formula unit. The space-group type is Cmce.